! MgB2 | Alexandria | SCAN | PBEsol geometry; values from VASP
&SYSTEM
  ibrav = 0, nat = 3, ntyp = 2
/
ATOMIC_SPECIES
B 10.81 B.upf
Mg 24.30 Mg.upf
CELL_PARAMETERS angstrom
3.071 0.000 0.000
-1.535 2.659 0.000
0.000 0.000 3.483
ATOMIC_POSITIONS angstrom
B 0.000 1.773 1.742
B 1.535 0.886 1.742
Mg 0.000 0.000 0.000
! D(E_F)	0.66	states/eV per cell
! E_tot	-20.4	eV per formula unit
! space group	P6/mmm, No. 191
! total moment	0.0	μB per formula unit
! theoretical density	2.7	g cm⁻³
! energy of formation from the pure elements	-0.1821	eV per atom

---

! CoAgHg2 | Alexandria | SCAN | PBEsol geometry; values from VASP
&SYSTEM
  ibrav = 0, nat = 4, ntyp = 3
/
ATOMIC_SPECIES
Co 58.93 Co.upf
Hg 200.59 Hg.upf
Ag 107.87 Ag.upf
CELL_PARAMETERS angstrom
2.946 0.000 0.000
1.473 2.551 0.000
1.473 0.850 9.317
ATOMIC_POSITIONS angstrom
Co 1.473 0.850 2.398
Hg 4.419 2.551 0.290
Hg 4.419 2.551 6.868
Ag 2.946 1.701 4.420
! D(E_F)	1.64	states/eV per cell
! E_tot	-183.7	eV per formula unit
! relative energy among the computed polymorphs	14.5	meV per atom
! space group	R3m, No. 160
! total moment	1.8	μB per formula unit
! theoretical density	13.5	g cm⁻³
! energy of formation from the pure elements	0.3358	eV per atom

---

! InCu2Br | Alexandria | SCAN | PBEsol geometry; values from VASP
&SYSTEM
  ibrav = 0, nat = 4, ntyp = 3
/
ATOMIC_SPECIES
Cu 63.55 Cu.upf
Br 79.90 Br.upf
In 114.82 In.upf
CELL_PARAMETERS angstrom
3.384 0.000 0.000
1.692 2.931 0.000
1.692 0.977 7.275
ATOMIC_POSITIONS angstrom
Cu 1.692 0.977 1.769
Cu 5.076 2.931 5.507
Br 0.000 0.000 0.000
In 3.384 1.954 3.638
! D(E_F)	1.32	states/eV per cell
! E_tot	-82.8	eV per formula unit
! relative energy among the computed polymorphs	0.0	meV per atom
! space group	R-3m, No. 166
! total moment	0.0	μB per formula unit
! energy relative to the elements, uncorrected	0.44	eV/f.u.
! theoretical density	7.4	g cm⁻³

---

! AgP2Br | Alexandria | SCAN | PBEsol geometry; values from VASP
&SYSTEM
  ibrav = 0, nat = 4, ntyp = 3
/
ATOMIC_SPECIES
Ag 107.87 Ag.upf
P 30.97 P.upf
Br 79.90 Br.upf
CELL_PARAMETERS angstrom
3.542 0.000 0.000
0.000 3.542 0.000
-1.771 -1.771 7.085
ATOMIC_POSITIONS angstrom
Ag 1.771 1.771 0.000
P 0.000 1.771 3.543
P 1.771 0.000 3.543
Br 0.000 0.000 0.000
! D(E_F)	1.91	states/eV per cell
! E_tot	-69.8	eV per formula unit
! relative energy among the computed polymorphs	281.6	meV per atom
! space group	I4/mmm, No. 139
! total moment	0.0	μB per formula unit
! energy relative to the elements, uncorrected	1.87	eV/f.u.
! theoretical density	4.7	g cm⁻³

---

! NaW2CBr | Alexandria | SCAN | PBEsol geometry; values from VASP
&SYSTEM
  ibrav = 0, nat = 5, ntyp = 4
/
ATOMIC_SPECIES
C 12.01 C.upf
W 183.84 W.upf
Na 22.99 Na.upf
Br 79.90 Br.upf
CELL_PARAMETERS angstrom
4.524 0.000 0.000
0.000 4.851 0.000
0.000 0.000 4.851
ATOMIC_POSITIONS angstrom
C 2.262 2.426 2.426
W 0.000 0.000 2.426
W 0.000 2.426 0.000
Na 0.000 0.000 0.000
Br 2.262 0.000 0.000
! D(E_F)	5.73	states/eV per cell
! E_tot	-152.5	eV per formula unit
! space group	P4/mmm, No. 123
! total moment	4.6	μB per formula unit
! energy relative to the elements, uncorrected	20.62	eV/f.u.
! theoretical density	7.5	g cm⁻³

---

! Fe5Co | Alexandria | SCAN | PBEsol geometry; values from VASP
&SYSTEM
  ibrav = 0, nat = 6, ntyp = 2
/
ATOMIC_SPECIES
Co 58.93 Co.upf
Fe 55.84 Fe.upf
CELL_PARAMETERS angstrom
3.953 0.000 0.000
-1.977 3.424 0.000
0.000 0.000 4.837
ATOMIC_POSITIONS angstrom
Co 0.000 0.000 0.000
Fe 1.977 1.141 4.033
Fe 1.977 1.141 1.621
Fe 0.000 2.282 3.217
Fe 0.000 0.000 2.419
Fe 0.000 2.282 0.804
! D(E_F)	3.07	states/eV per cell
! E_tot	-108.5	eV per formula unit
! space group	P-3m1, No. 164
! total moment	14.6	μB per formula unit
! theoretical density	8.6	g cm⁻³
! energy of formation from the pure elements	-0.0971	eV per atom